# NbInPO PBE optimized geometry
data_NbInPO
_chemical_formula_sum 'Nb2 In2 P2 O2'
_space_group_name_H-M_alt 'P 1'
_space_group_IT_number 1
_space_group_name_Hall 'P 1'
_cell_length_a 3.447
_cell_length_b 6.625
_cell_length_c 7.317
_cell_angle_alpha 90.00
_cell_angle_beta 90.00
_cell_angle_gamma 90.00
loop_
_atom_site_label
_atom_site_fract_x
_atom_site_fract_y
_atom_site_fract_z
In1 0.000 0.797 0.065
In2 0.000 0.203 0.565
Nb1 0.500 0.584 0.496
Nb2 0.500 0.416 0.996
O1 0.500 0.439 0.260
O2 0.500 0.561 0.760
P1 0.000 0.839 0.433
P2 0.000 0.161 0.933
# - E_tot: -26.54 eV per formula unit
# - Offset from the most stable computed form: 79.8 meV/atom